MgTlFe2H | PBE | optimized geometry

Its crystal system is tetragonal. Its raw total energy is -3.1257 eV/atom.

The structure belongs to space group P4/mmm (No. 123); the cell edges are 4.805, 4.805 and 5.637 Å and the angles 90.00°, 90.00° and 90.00°. Symmetry generates all atoms from Mg at (0.000, 0.000, 0.000), Tl at (0.000, 0.000, 0.500), Fe at (0.000, 0.500, 0.000) and H at (0.500, 0.500, 0.500).

Yb4Mg4Fe3H22 | PBE | optimized geometry

Its crystal system is cubic. Its raw total energy is -3.8280 eV/atom.

The structure belongs to space group P-43m (No. 215); the cell edges are 6.588, 6.588 and 6.588 Å and the angles 90.00°, 90.00° and 90.00°. Symmetry generates all atoms from Yb at (0.209, 0.209, 0.209), Mg at (0.287, 0.287, 0.713), Fe at (0.000, 0.500, 0.500), H at (0.000, 0.259, 0.500), H at (0.124, 0.124, 0.876) and H at (0.240, 0.500, 0.500).

MgZnFeH6 | PBE | optimized geometry

Its crystal system is trigonal. Its raw total energy is -3.5447 eV/atom.

The structure belongs to space group P-31c (No. 163); the cell edges are 4.4262, 4.4262 and 8.2214 Å and the angles 90.00°, 90.00° and 120.00°. Symmetry generates all atoms from Mg at (0.0000, 0.0000, 0.0000), Zn at (0.3333, 0.6667, 0.2500), Fe at (0.3333, 0.6667, 0.7500) and H at (0.0511, 0.3960, 0.6281).

MgZnFe2H | PBE | optimized geometry

Its crystal system is tetragonal. Its raw total energy is -4.4959 eV/atom.

The structure belongs to space group P4/mmm (No. 123); the cell edges are 3.696, 3.696 and 4.173 Å and the angles 90.00°, 90.00° and 90.00°. Symmetry generates all atoms from Mg at (0.000, 0.000, 0.000), Zn at (0.500, 0.500, 0.000), Fe at (0.000, 0.500, 0.500) and H at (0.500, 0.500, 0.500).

MgZr2FeH | PBE | optimized geometry

Its crystal system is tetragonal. Its raw total energy is -6.1745 eV/atom.

The structure belongs to space group P4/mmm (No. 123); the cell edges are 4.645, 4.645 and 3.563 Å and the angles 90.00°, 90.00° and 90.00°. Symmetry generates all atoms from Mg at (0.000, 0.000, 0.000), Zr at (0.000, 0.500, 0.500), Fe at (0.500, 0.500, 0.000) and H at (0.500, 0.500, 0.500).

MnFeH3 | PBE | optimized geometry

Its crystal system is cubic. Its raw total energy is -5.4355 eV/atom.

The structure belongs to space group P2_13 (No. 198); the cell edges are 5.155, 5.155 and 5.155 Å and the angles 90.00°, 90.00° and 90.00°. Symmetry generates all atoms from Mn at (0.111, 0.389, 0.611), Fe at (0.098, 0.902, 0.402) and H at (0.030, 0.702, 0.146).

MnFeH2 | PBE | optimized geometry

Its crystal system is cubic. Its raw total energy is -5.6086 eV/atom.

The structure belongs to space group Fm-3m (No. 225); the cell edges are 4.939, 4.939 and 4.939 Å and the angles 90.00°, 90.00° and 90.00°. Symmetry generates all atoms from Mn at (0.000, 0.000, 0.000), Fe at (0.000, 0.000, 0.500) and H at (0.250, 0.250, 0.250).

MnFe2H2 | PBE | optimized geometry

Its crystal system is orthorhombic. Its raw total energy is -6.5335 eV/atom.

The structure belongs to space group Cmcm (No. 63); the cell edges are 2.538, 14.924 and 3.927 Å and the angles 90.00°, 90.00° and 90.00°. Symmetry generates all atoms from Mn at (0.000, 0.109, 0.250), Fe at (0.000, 0.292, 0.250), Fe at (0.000, 0.460, 0.250), H at (0.000, 0.124, 0.750) and H at (0.000, 0.298, 0.750).

Mn2FeH | PBE | optimized geometry

Its crystal system is trigonal. Its raw total energy is -7.1710 eV/atom.

The structure belongs to space group R-3m (No. 166, hexagonal axes); the cell edges are 2.5341, 2.5341 and 20.1698 Å and the angles 90.00°, 90.00° and 120.00°. Symmetry generates all atoms from Mn at (0.0000, 0.0000, 0.1165), Fe at (0.0000, 0.0000, 0.0000) and H at (0.0000, 0.0000, 0.5000).

Mn2FeH | PBE | optimized geometry

Its crystal system is tetragonal. Its raw total energy is -7.2789 eV/atom.

The structure belongs to space group P4/mmm (No. 123); the cell edges are 2.505, 2.505 and 5.702 Å and the angles 90.00°, 90.00° and 90.00°. Symmetry generates all atoms from Mn at (0.000, 0.000, 0.200), Fe at (0.500, 0.500, 0.500) and H at (0.500, 0.500, 0.000).

MnFeH2 | PBE | optimized geometry

Its crystal system is trigonal. Its raw total energy is -5.9331 eV/atom.

The structure belongs to space group R-3m (No. 166, hexagonal axes); the cell edges are 2.7053, 2.7053 and 14.5544 Å and the angles 90.00°, 90.00° and 120.00°. Symmetry generates all atoms from Mn at (0.0000, 0.0000, 0.0000), Fe at (0.0000, 0.0000, 0.5000) and H at (0.0000, 0.0000, 0.1181).

MnFeH3 | PBE | optimized geometry

Its crystal system is cubic. Its raw total energy is -5.2896 eV/atom.

The structure belongs to space group Pm-3m (No. 221); the cell edges are 3.242, 3.242 and 3.242 Å and the angles 90.00°, 90.00° and 90.00°. Symmetry generates all atoms from Mn at (0.000, 0.000, 0.000), Fe at (0.500, 0.500, 0.500) and H at (0.000, 0.000, 0.500).